DFT (PBE) results for crystalline Ca3Fe at its relaxed geometry.

* ΔH_f (0 K): 0.49 eV per atom

a b c (Å): 4.967 4.967 4.967
angles (deg): 90.00 90.00 90.00
Space group Pm-3m (No. 221)
Unique sites:
Ca1 0.000 0.000 0.500 (multiplicity 3)
Fe1 0.500 0.500 0.500 (multiplicity 1)

DFT (PBE) results for crystalline Ca3Fe at its relaxed geometry.

* ΔH_f (0 K): 0.39 eV per atom

a b c (Å): 3.698 11.920 5.752
angles (deg): 90.00 90.00 90.00
Space group Imm2 (No. 44)
Unique sites:
Ca1 0.000 0.000 0.000 (multiplicity 2)
Ca2 0.000 0.193 0.499 (multiplicity 4)
Fe1 0.000 0.500 0.001 (multiplicity 2)

DFT (PBE) results for crystalline CaFe5 at its relaxed geometry.

* ΔH_f (0 K): 0.45 eV per atom

a b c (Å): 4.013 2.552 16.177
angles (deg): 90.00 90.00 90.00
Space group Amm2 (No. 38)
Unique sites:
Ca1 0.000 0.000 0.000 (multiplicity 2)
Fe1 0.000 0.000 0.322 (multiplicity 2)
Fe2 0.000 0.000 0.688 (multiplicity 2)
Fe3 0.500 0.000 0.241 (multiplicity 2)
Fe4 0.500 0.000 0.610 (multiplicity 2)
Fe5 0.500 0.000 0.868 (multiplicity 2)